Record 1
An optimized crystal structure of InCu2Te. Source: the Alexandria database, functional GGA-PBEsol.

Cell: 4.7818 4.7818 4.7818 Å, 60.00 60.00 60.00°
Closest atoms and distances in Å follow each position.
Positions (direct):
In: 0.0000 0.0000 0.0000  4 Te 2.93, 4 Cu 2.93
Cu: 0.5000 0.5000 0.5000  4 Te 2.93, 4 Cu 2.93
Cu: 0.7500 0.7500 0.7500  4 In 2.93, 4 Cu 2.93
Te: 0.2500 0.2500 0.2500  4 In 2.93, 4 Cu 2.93

Values from the calculation:
DOS at the Fermi energy = 2.39 states/eV/cell
space-group type = F-43m, No. 216
calculated density = 7.94 Mg/m³
formation energy (no corrections) = 11.0 kcal/mol of atoms

=====

Record 2
An optimized crystal structure of TlCr5Te8. Source: the Alexandria database, functional GGA-PBEsol.

Cell: 10.1496 10.1496 9.2942 Å, 103.71 103.71 22.10°
Closest atoms and distances in Å follow each position.
Positions (direct):
Tl: 0.0000 0.0000 0.0000  8 Te 3.55-3.79, 2 Tl 3.89
Cr: 0.1457 0.1457 0.4848  6 Te 2.66-2.79
Cr: 0.1929 0.1929 0.8305  6 Te 2.66-2.72
Cr: 0.4879 0.4879 0.4997  6 Te 2.68-2.69
Cr: 0.7840 0.7840 0.1691  6 Te 2.67-2.73
Cr: 0.8330 0.8330 0.5162  6 Te 2.66-2.79
Te: 0.0595 0.0595 0.6698  4 Cr 2.69-2.72
Te: 0.2498 0.2498 0.3441  5 Cr 2.71-2.79
Te: 0.3202 0.3202 0.0045  3 Cr 2.66-2.68
Te: 0.4030 0.4030 0.6834  3 Cr 2.66-2.68
Te: 0.5748 0.5748 0.3196  3 Cr 2.66-2.68
Te: 0.6561 0.6561 0.9951  3 Cr 2.67-2.68
Te: 0.7286 0.7286 0.6576  5 Cr 2.72-2.79
Te: 0.9176 0.9176 0.3274  4 Cr 2.69-2.71

Values from the calculation:
DOS at the Fermi energy = 4.80 states/eV/cell
space-group type = Cm, No. 8
calculated density = 7.06 Mg/m³
formation energy (no corrections) = -3.2 kcal/mol of atoms

=====

Record 3
An optimized crystal structure of Ta2AgCl. Source: the Alexandria database, functional GGA-PBEsol.

Cell: 5.1351 5.1351 2.8306 Å, 90.00 90.00 113.97°
Closest atoms and distances in Å follow each position.
Positions (direct):
Ta: 0.0000 0.5000 0.0000  4 Ta 2.80-2.83, 4 Cl 2.93, 4 Ag 2.93
Ta: 0.5000 0.0000 0.0000  4 Ta 2.80-2.83, 4 Cl 2.93, 4 Ag 2.93
Ag: 0.0000 0.0000 0.5000  2 Cl 2.80, 2 Ag 2.83, 8 Ta 2.93
Cl: 0.5000 0.5000 0.5000  2 Ag 2.80, 2 Cl 2.83, 8 Ta 2.93

Values from the calculation:
DOS at the Fermi energy = 3.56 states/eV/cell
space-group type = Cmmm, No. 65
calculated density = 12.30 Mg/m³
formation energy (no corrections) = 15.0 kcal/mol of atoms

=====

Record 4
An optimized crystal structure of TiMo3Au. Source: the Alexandria database, functional GGA-PBEsol.

Cell: 4.4534 4.4534 4.4534 Å, 90.00 90.00 90.00°
Closest atoms and distances in Å follow each position.
Positions (direct):
Ti: 0.0000 0.0000 0.0000  6 Mo 2.23
Mo: 0.0000 0.0000 0.5000  2 Ti 2.23
Mo: 0.0000 0.5000 0.0000  2 Ti 2.23
Mo: 0.5000 0.0000 0.0000  2 Ti 2.23
Au: 0.5000 0.5000 0.5000  12 Mo 3.15

Values from the calculation:
energy of formation from the pure elements = 1.45 eV per atom
DOS at the Fermi energy = 4.29 states/eV/cell
space-group type = Pm-3m, No. 221
calculated density = 10.01 Mg/m³

=====

Record 5
An optimized crystal structure of CaAl2Cd. Source: the Alexandria database, functional GGA-PBEsol.

Cell: 5.0345 5.0345 5.8357 Å, 101.07 101.07 37.37°
Closest atoms and distances in Å follow each position.
Positions (direct):
Ca: 0.0000 0.0000 0.0000  6 Al 3.14-3.17, 2 Ca 3.23, 4 Cd 3.33
Al: 0.2398 0.2398 0.7032  3 Cd 2.85-2.96, 2 Al 2.91, 3 Ca 3.14-3.17
Al: 0.7602 0.7602 0.2968  3 Cd 2.85-2.96, 2 Al 2.91, 3 Ca 3.14-3.17
Cd: 0.5000 0.5000 0.5000  6 Al 2.85-2.96

Values from the calculation:
energy of formation from the pure elements = 0.00 eV per atom
DOS at the Fermi energy = 2.02 states/eV/cell
space-group type = C2/m, No. 12
calculated density = 3.90 Mg/m³

=====

Record 6
An optimized crystal structure of Cd2MoOs. Source: the Alexandria database, functional GGA-PBEsol.

Cell: 9.6982 9.6982 9.6982 Å, 16.76 16.76 16.76°
Closest atoms and distances in Å follow each position.
Positions (direct):
Cd: 0.2483 0.2483 0.2483  6 Cd 2.83, 3 Os 2.85, 3 Mo 2.93
Cd: 0.7517 0.7517 0.7517  6 Cd 2.83, 3 Os 2.85, 3 Mo 2.93
Mo: 0.0000 0.0000 0.0000  6 Mo 2.83, 6 Cd 2.93
Os: 0.5000 0.5000 0.5000  6 Os 2.83, 6 Cd 2.85

Values from the calculation:
energy of formation from the pure elements = 0.61 eV per atom
DOS at the Fermi energy = 4.37 states/eV/cell
space-group type = R-3m, No. 166
calculated density = 12.83 Mg/m³

=====

Record 7
An optimized crystal structure of LiMnBO3. Source: the Alexandria database, functional GGA-PBEsol.

Cell: 9.2397 3.1624 9.1118 Å, 90.00 90.00 90.00°
Closest atoms and distances in Å follow each position.
Positions (direct):
Li: 0.1904 0.2500 0.1435  4 O 1.91-2.13
Li: 0.3096 0.7500 0.6435  4 O 1.91-2.13
Li: 0.6904 0.2500 0.3565  4 O 1.91-2.13
Li: 0.8096 0.7500 0.8565  4 O 1.91-2.13
Mn: 0.0583 0.2500 0.6998  5 O 2.08-2.11
Mn: 0.4417 0.7500 0.1998  5 O 2.08-2.11
Mn: 0.5583 0.2500 0.8002  5 O 2.08-2.11
Mn: 0.9417 0.7500 0.3002  5 O 2.08-2.11
B: 0.2223 0.2500 0.4058  3 O 1.37-1.40
B: 0.2777 0.7500 0.9058  3 O 1.37-1.40
B: 0.7223 0.2500 0.0942  3 O 1.37-1.40
B: 0.7777 0.7500 0.5942  3 O 1.37-1.40
O: 0.0882 0.2500 0.3346  1 B 1.40
O: 0.1558 0.7500 0.8176  1 B 1.38
O: 0.2329 0.2500 0.5560  1 B 1.37
O: 0.2671 0.7500 0.0560  1 B 1.37
O: 0.3442 0.2500 0.3176  1 B 1.38
O: 0.4118 0.7500 0.8346  1 B 1.40
O: 0.5882 0.2500 0.1654  1 B 1.40
O: 0.6558 0.7500 0.6824  1 B 1.38
O: 0.7329 0.2500 0.9440  1 B 1.37
O: 0.7671 0.7500 0.4440  1 B 1.37
O: 0.8442 0.2500 0.1824  1 B 1.38
O: 0.9118 0.7500 0.6654  1 B 1.40

Values from the calculation:
space-group type = Pnma, No. 62
calculated density = 3.01 Mg/m³
formation energy (no corrections) = -44.8 kcal/mol of atoms

=====

Record 8
An optimized crystal structure of Zr3FeSi. Source: the Alexandria database, functional GGA-PBEsol.

Cell: 4.6621 4.6621 4.6621 Å, 90.00 90.00 90.00°
Closest atoms and distances in Å follow each position.
Positions (direct):
Zr: 0.0000 0.0000 0.5000  2 Fe 2.33
Zr: 0.0000 0.5000 0.0000  2 Fe 2.33
Zr: 0.5000 0.0000 0.0000  2 Fe 2.33
Fe: 0.0000 0.0000 0.0000  6 Zr 2.33
Si: 0.5000 0.5000 0.5000  12 Zr 3.30

Values from the calculation:
DOS at the Fermi energy = 6.28 states/eV/cell
space-group type = Pm-3m, No. 221
calculated density = 5.86 Mg/m³
formation energy (no corrections) = 3.1 kcal/mol of atoms

=====

Record 9
An optimized crystal structure of Hf4CuSi3. Source: the Alexandria database, functional GGA-PBEsol.

Cell: 3.6561 3.7055 9.8724 Å, 90.00 90.00 90.00°
Closest atoms and distances in Å follow each position.
Positions (direct):
Hf: 0.0000 0.0000 0.0000  6 Si 2.68-2.89, 1 Cu 2.76
Hf: 0.0000 0.5000 0.2951  7 Si 2.69-2.90
Hf: 0.5000 0.0000 0.4974  5 Si 2.67-2.71, 2 Cu 2.86
Hf: 0.5000 0.5000 0.7960  3 Si 2.67-2.85, 4 Cu 2.71
Cu: 0.0000 0.0000 0.7199  2 Si 2.35
Si: 0.0000 0.5000 0.5742  2 Cu 2.35
Si: 0.5000 0.0000 0.2267  2 Si 2.43, 5 Hf 2.67-2.69
Si: 0.5000 0.5000 0.0667  2 Si 2.43, 5 Hf 2.67-2.68

Values from the calculation:
DOS at the Fermi energy = 4.23 states/eV/cell
space-group type = Pmm2, No. 25
calculated density = 10.70 Mg/m³
formation energy (no corrections) = -17.2 kcal/mol of atoms

=====

Record 10
An optimized crystal structure of ZrIr2Os. Source: the Alexandria database, functional GGA-PBEsol.

Cell: 3.3340 3.3340 5.7216 Å, 90.00 90.00 90.00°
Closest atoms and distances in Å follow each position.
Positions (direct):
Zr: 0.0000 0.0000 0.0000  6 Ir 2.75-2.91, 4 Os 2.88
Ir: 0.0000 0.0000 0.5080  4 Os 2.63, 4 Ir 2.79, 2 Zr 2.82-2.91
Ir: 0.5000 0.5000 0.2479  1 Os 2.65, 4 Zr 2.75, 4 Ir 2.79
Os: 0.5000 0.5000 0.7110  5 Ir 2.63-2.65, 4 Zr 2.88

Values from the calculation:
energy of formation from the pure elements = -0.05 eV per atom
DOS at the Fermi energy = 5.45 states/eV/cell
space-group type = P4mm, No. 99
calculated density = 17.39 Mg/m³

=====

Record 11
An optimized crystal structure of YHBr2. Source: the Alexandria database, functional GGA-PBEsol.

Cell: 7.9641 7.9641 7.9641 Å, 27.13 27.13 27.13°
Closest atoms and distances in Å follow each position.
Positions (direct):
Y: 0.0000 0.0000 0.0000  6 Br 2.87
H: 0.5000 0.5000 0.5000  2 Br 1.94
Br: 0.4156 0.4156 0.4156  1 H 1.94
Br: 0.5844 0.5844 0.5844  1 H 1.94

Values from the calculation:
DOS at the Fermi energy = 0.94 states/eV/cell
space-group type = R-3m, No. 166
calculated density = 4.47 Mg/m³

=====

Number 1: total energy -3.32 eV/atom. Number 2: total energy -6.00 eV/atom. Number 3: total energy -6.96 eV/atom. Number 4: total energy -8.06 eV/atom. Number 5: total energy -2.88 eV/atom. Number 6: total energy -5.98 eV/atom. Number 7: total energy -7.69 eV/atom. Number 8: total energy -8.26 eV/atom. Number 9: total energy -8.69 eV/atom. Number 10: total energy -10.29 eV/atom. Number 11: total energy -4.17 eV/atom.